CaZnCdAg2 | GGA-PBE | relaxed

total DFT energy (no corrections) = -2.1748 eV/atom
energy of formation = -1.0 eV per formula unit

a = 3.924 Å, b = 4.507 Å, c = 12.496 Å
α = 90.00°, β = 90.00°, γ = 90.00°
Fractional positions:
Ca  0.000  0.000  0.000
Ca  0.500  0.500  0.500
Zn  0.000  0.000  0.400
Zn  0.500  0.500  0.900
Cd  0.000  0.500  0.743
Cd  0.500  0.000  0.243
Ag  0.000  0.000  0.605
Ag  0.000  0.500  0.279
Ag  0.500  0.000  0.779
Ag  0.500  0.500  0.105